First-principles (PBE) data for a relaxed Na2CaHfN crystal, as listed in Alexandria.

It has space group P4/mmm (No. 123), with a = 6.343 Å, b = 6.343 Å, c = 4.044 Å, α = 90.00°, β = 90.00° and γ = 90.00°. The asymmetric unit holds Na at (0.000, 0.500, 0.000), Ca at (0.000, 0.000, 0.500), Hf at (0.500, 0.500, 0.000) and N at (0.500, 0.500, 0.500).

The value obtained for the final energy is -21.040 eV per cell. The value obtained for the energy above the most stable polymorph in this dataset is 0.00 eV/f.u.

---

First-principles (PBE) data for a relaxed Na2CaHfN crystal, as listed in Alexandria.

It has space group P4/mmm (No. 123), with a = 5.954 Å, b = 5.954 Å, c = 6.016 Å, α = 90.00°, β = 90.00° and γ = 90.00°. The asymmetric unit holds Na at (0.000, 0.500, 0.000), Ca at (0.000, 0.000, 0.500), Hf at (0.000, 0.000, 0.000) and N at (0.500, 0.500, 0.500).

The value obtained for the final energy is -12.512 eV per cell. The value obtained for the energy above the most stable polymorph in this dataset is 8.53 eV/f.u.

---

First-principles (PBE) data for a relaxed CaHf2NiN4 crystal, as listed in Alexandria.

It has space group Cmcm (No. 63), with a = 3.213 Å, b = 10.908 Å, c = 11.141 Å, α = 90.00°, β = 90.00° and γ = 90.00°. The asymmetric unit holds Ca at (0.000, 0.109, 0.250), Hf at (0.000, 0.367, 0.052), Ni at (0.000, 0.156, 0.750), N at (0.000, 0.000, 0.000), N at (0.000, 0.263, 0.609) and N at (0.000, 0.436, 0.250).

The value obtained for the final energy is -282.055 eV per cell.

---

First-principles (PBE) data for a relaxed Ca3Hf2NpN6 crystal, as listed in Alexandria.

It has space group C2/m (No. 12), with a = 14.792 Å, b = 3.349 Å, c = 6.855 Å, α = 90.00°, β = 104.96° and γ = 90.00°. The asymmetric unit holds Ca at (0.000, 0.000, 0.000), Ca at (0.169, 0.500, 0.332), Hf at (0.169, 0.500, 0.841), Np at (0.000, 0.000, 0.500), N at (0.011, 0.500, 0.736), N at (0.159, 0.000, 0.609) and N at (0.176, 0.000, 0.066).

The value obtained for the final energy is -212.300 eV per cell.